i.
VASP calculation (PBE) on TbSmDy2 after structural relaxation.

```
data_TbSmDy2
_symmetry_space_group_name_H-M 'P 1'
_symmetry_Int_Tables_number 1
_cell_length_a 5.0390
_cell_length_b 5.0466
_cell_length_c 5.0466
_cell_angle_alpha 90.00
_cell_angle_beta 90.00
_cell_angle_gamma 90.00
loop_
_symmetry_equiv_pos_as_xyz
'x,y,z'
loop_
_atom_site_label
_atom_site_type_symbol
_atom_site_fract_x
_atom_site_fract_y
_atom_site_fract_z
Dy1 Dy 0.0000 0.5000 0.0000
Dy2 Dy 0.0000 0.0000 0.5000
Tb1 Tb 0.5000 0.0000 0.0000
Sm1 Sm 0.5000 0.5000 0.5000
```

=====

ii.
VASP calculation (PBE) on TbSmDy2 after structural relaxation.

```
data_TbSmDy2
_symmetry_space_group_name_H-M 'P 1'
_symmetry_Int_Tables_number 1
_cell_length_a 3.5880
_cell_length_b 3.5880
_cell_length_c 11.7312
_cell_angle_alpha 81.20
_cell_angle_beta 81.20
_cell_angle_gamma 60.00
loop_
_symmetry_equiv_pos_as_xyz
'x,y,z'
loop_
_atom_site_label
_atom_site_type_symbol
_atom_site_fract_x
_atom_site_fract_y
_atom_site_fract_z
Sm1 Sm 0.5004 0.5004 0.4989
Tb1 Tb 0.6665 0.6665 0.0004
Dy1 Dy 0.2506 0.2506 0.2482
Dy2 Dy 0.0825 0.0825 0.7525
```

=====

It is ii that is most stable; the runner-up trails by 7 meV per atom.